1.
# ZnGe2BiO6 PBE relaxed
# Formation energy without anion corrections   -1.335 eV per atom
# Raw total energy   -5.749 eV/atom
# Symmetry   C2/c (15)
data_ZnGe2BiO6
_cell_length_a 7.2179
_cell_length_b 7.2179
_cell_length_c 6.1745
_cell_angle_alpha 106.71
_cell_angle_beta 106.71
_cell_angle_gamma 86.81
_space_group_name_H-M_alt 'P 1'
_space_group_IT_number 1
loop_
_space_group_symop_operation_xyz
'x,y,z'
loop_
_atom_site_label
_atom_site_type_symbol
_atom_site_fract_x
_atom_site_fract_y
_atom_site_fract_z
Zn1 Zn 0.2335 0.7665 0.7500
Zn2 Zn 0.7665 0.2335 0.2500
Ge1 Ge 0.2374 0.3797 0.3012
Ge2 Ge 0.3797 0.2374 0.8012
Ge3 Ge 0.6203 0.7626 0.1988
Ge4 Ge 0.7626 0.6203 0.6988
Bi1 Bi 0.1214 0.8786 0.2500
Bi2 Bi 0.8786 0.1214 0.7500
O1 O 0.0372 0.1990 0.1761
O2 O 0.1541 0.6149 0.4230
O3 O 0.1990 0.0372 0.6761
O4 O 0.3019 0.4024 0.0414
O5 O 0.3851 0.8459 0.0770
O6 O 0.4024 0.3019 0.5414
O7 O 0.5976 0.6981 0.4586
O8 O 0.6149 0.1541 0.9230
O9 O 0.6981 0.5976 0.9586
O10 O 0.8010 0.9628 0.3239
O11 O 0.8459 0.3851 0.5770
O12 O 0.9628 0.8010 0.8239

2.
# ZrGe2BiO8 PBE relaxed
# Formation energy without anion corrections   -1.871 eV per atom
# Raw total energy   -6.982 eV/atom
# Symmetry   I-4m2 (119)
data_ZrGe2BiO8
_cell_length_a 5.8738
_cell_length_b 5.8738
_cell_length_c 5.8738
_cell_angle_alpha 107.54
_cell_angle_beta 107.54
_cell_angle_gamma 113.41
_space_group_name_H-M_alt 'P 1'
_space_group_IT_number 1
loop_
_space_group_symop_operation_xyz
'x,y,z'
loop_
_atom_site_label
_atom_site_type_symbol
_atom_site_fract_x
_atom_site_fract_y
_atom_site_fract_z
Zr1 Zr 0.0000 0.0000 0.0000
Ge1 Ge 0.2500 0.7500 0.5000
Ge2 Ge 0.5000 0.5000 0.0000
Bi1 Bi 0.7500 0.2500 0.5000
O1 O 0.0669 0.3758 0.3089
O2 O 0.0669 0.7579 0.6911
O3 O 0.1255 0.3016 0.8239
O4 O 0.2421 0.9331 0.3089
O5 O 0.4778 0.3016 0.1761
O6 O 0.6242 0.9331 0.6911
O7 O 0.6984 0.5222 0.8239
O8 O 0.6984 0.8745 0.1761

3.
# GeBiOs3 PBE relaxed
# Raw total energy   -6.900 eV/atom
# Energy of formation from the pure elements   1.537 eV per atom
# Symmetry   Pm-3m (221)
data_GeBiOs3
_cell_length_a 4.6215
_cell_length_b 4.6215
_cell_length_c 4.6215
_cell_angle_alpha 90.00
_cell_angle_beta 90.00
_cell_angle_gamma 90.00
_space_group_name_H-M_alt 'P 1'
_space_group_IT_number 1
loop_
_space_group_symop_operation_xyz
'x,y,z'
loop_
_atom_site_label
_atom_site_type_symbol
_atom_site_fract_x
_atom_site_fract_y
_atom_site_fract_z
Ge1 Ge 0.0000 0.0000 0.0000
Bi1 Bi 0.5000 0.5000 0.5000
Os1 Os 0.0000 0.0000 0.5000
Os2 Os 0.0000 0.5000 0.0000
Os3 Os 0.5000 0.0000 0.0000

4.
# GeBiOs3 PBE relaxed
# Raw total energy   -5.470 eV/atom
# Energy of formation from the pure elements   2.968 eV per atom
# Symmetry   Pm-3m (221)
data_GeBiOs3
_cell_length_a 4.9984
_cell_length_b 4.9984
_cell_length_c 4.9984
_cell_angle_alpha 90.00
_cell_angle_beta 90.00
_cell_angle_gamma 90.00
_space_group_name_H-M_alt 'P 1'
_space_group_IT_number 1
loop_
_space_group_symop_operation_xyz
'x,y,z'
loop_
_atom_site_label
_atom_site_type_symbol
_atom_site_fract_x
_atom_site_fract_y
_atom_site_fract_z
Ge1 Ge 0.0000 0.0000 0.0000
Bi1 Bi 0.5000 0.5000 0.5000
Os1 Os 0.0000 0.5000 0.5000
Os2 Os 0.5000 0.0000 0.5000
Os3 Os 0.5000 0.5000 0.0000